1.
An optimized crystal structure of ZnCuHg2, computed with GGA-PBE.

The structure belongs to space group R-3m (No. 166, hexagonal axes); the cell edges are 3.3260, 3.3260 and 24.6418 Å and the angles 90.00°, 90.00° and 120.00°. Symmetry generates all atoms from Zn at (0.0000, 0.0000, 0.0000), Cu at (0.0000, 0.0000, 0.5000) and Hg at (0.0000, 0.0000, 0.2467).

The value obtained for the density of states at the Fermi level is 0.33 states/eV per atom. Its uncorrected energy is -1.28 eV per atom. The calculated formation energy is 211 meV/atom.

2.
An optimized crystal structure of ZnCuHg2, computed with GGA-PBE.

The structure belongs to space group Pm (No. 6); the cell edges are 3.7063, 4.1792 and 5.2799 Å and the angles 90.00°, 108.35° and 90.00°. Symmetry generates all atoms from Zn at (0.0000, 0.0000, 0.0000), Cu at (0.1309, 0.5000, 0.2946), Hg at (0.4213, 0.5000, 0.8406) and Hg at (0.7045, 0.0000, 0.4494).

The value obtained for the density of states at the Fermi level is 0.38 states/eV per atom. Its uncorrected energy is -1.34 eV per atom. The calculated formation energy is 153 meV/atom.

3.
An optimized crystal structure of ZnCu2Hg2, computed with GGA-PBE.

The structure belongs to space group P4/mbm (No. 127); the cell edges are 7.5176, 7.5176 and 3.1671 Å and the angles 90.00°, 90.00° and 90.00°. Symmetry generates all atoms from Zn at (0.0000, 0.0000, 0.0000), Cu at (0.1231, 0.3769, 0.5000) and Hg at (0.1729, 0.6729, 0.0000).

The value obtained for the density of states at the Fermi level is 0.37 states/eV per atom. The offset from the most stable computed form is 0.43 eV/f.u. Its uncorrected energy is -1.78 eV per atom. The calculated formation energy is 238 meV/atom.

4.
An optimized crystal structure of Zn2CuHg, computed with GGA-PBE.

The structure belongs to space group Pm (No. 6); the cell edges are 3.2593, 3.3856 and 5.8677 Å and the angles 90.00°, 90.47° and 90.00°. Symmetry generates all atoms from Zn at (0.0000, 0.0000, 0.0000), Zn at (0.4980, 0.5000, 0.7632), Cu at (0.9961, 0.0000, 0.5636) and Hg at (0.4973, 0.5000, 0.2839).

The value obtained for the density of states at the Fermi level is 0.14 states/eV per atom. Its uncorrected energy is -1.65 eV per atom. The calculated formation energy is 86 meV/atom.

5.
An optimized crystal structure of ZnCuHg2, computed with GGA-PBE.

The structure belongs to space group P2/m (No. 10); the cell edges are 3.3808, 4.5677 and 5.1914 Å and the angles 90.00°, 95.82° and 90.00°. Symmetry generates all atoms from Zn at (0.0000, 0.0000, 0.0000), Cu at (0.5000, 0.0000, 0.5000) and Hg at (0.2532, 0.5000, 0.2540).

The value obtained for the density of states at the Fermi level is 0.26 states/eV per atom. Its uncorrected energy is -1.27 eV per atom. The calculated formation energy is 220 meV/atom.

6.
An optimized crystal structure of ZnCuHg2, computed with GGA-PBE.

The structure belongs to space group Cmmm (No. 65); the cell edges are 3.4918, 5.2925 and 8.4496 Å and the angles 90.00°, 90.00° and 90.00°. Symmetry generates all atoms from Zn at (0.0000, 0.0000, 0.0000), Cu at (0.0000, 0.0000, 0.5000) and Hg at (0.0000, 0.5000, 0.2599).

The value obtained for the density of states at the Fermi level is 0.16 states/eV per atom. Its uncorrected energy is -1.25 eV per atom. The calculated formation energy is 241 meV/atom.